Entry 1:
This record from Alexandria via LeMat-Bulk describes a relaxed structure of Dy2UH. The functional is GGA-PBE.

Unit cell a=3.2212 b=3.2212 c=9.5262 alpha=80.27 beta=80.27 gamma=60.00
Sites, in units of the cell vectors:
1 H 0.5000 0.5000 0.5000
2 U 0.0000 0.0000 0.0000
3 Dy 0.1150 0.1150 0.6551
4 Dy 0.8850 0.8850 0.3449

Values from the calculation:
space group: No. 166
raw total energy: -5.718 eV per atom
magnetization: 2.05 μB/f.u.

Entry 2:
This record from Alexandria via LeMat-Bulk describes a relaxed structure of GdHoScPt. The functional is GGA-PBE.

Unit cell a=5.0958 b=5.0958 c=5.0958 alpha=60.00 beta=60.00 gamma=60.00
Sites, in units of the cell vectors:
1 Sc 0.7500 0.7500 0.7500
2 Gd 0.5000 0.5000 0.5000
3 Ho 0.0000 0.0000 0.0000
4 Pt 0.2500 0.2500 0.2500

Values from the calculation:
space group: No. 216
raw total energy: -8.137 eV per atom
magnetization: 8.08 μB/f.u.

Entry 3:
This record from Alexandria via LeMat-Bulk describes a relaxed structure of CoAsBr2. The functional is GGA-PBE.

Unit cell a=4.8691 b=4.8691 c=4.8691 alpha=60.00 beta=60.00 gamma=60.00
Sites, in units of the cell vectors:
1 As 0.5000 0.5000 0.5000
2 Br 0.0000 0.0000 0.0000
3 Br 0.2500 0.2500 0.2500
4 Co 0.7500 0.7500 0.7500

Values from the calculation:
uncorrected formation energy: 3.46 eV per formula unit
space group: No. 216
raw total energy: -2.911 eV per atom
magnetization: 0.99 μB/f.u.

Entry 4:
This record from Alexandria via LeMat-Bulk describes a relaxed structure of Hf3PdW. The functional is GGA-PBE.

Unit cell a=4.9018 b=4.9018 c=4.9018 alpha=90.00 beta=90.00 gamma=90.00
Sites, in units of the cell vectors:
1 Hf 0.0000 0.5000 0.0000
2 Hf 0.0000 0.0000 0.5000
3 Hf 0.5000 0.0000 0.0000
4 Pd 0.0000 0.0000 0.0000
5 W 0.5000 0.5000 0.5000

Values from the calculation:
space group: No. 221
raw total energy: -8.557 eV per atom
magnetization: 0.06 μB/f.u.

Entry 5:
This record from Alexandria via LeMat-Bulk describes a relaxed structure of Pr5C2Br8. The functional is GGA-PBE.

Unit cell a=9.3041 b=12.4920 c=17.1703 alpha=100.11 beta=90.70 gamma=95.54
Sites, in units of the cell vectors:
1 Pr 0.2679 0.0078 0.2994
2 Pr 0.1344 0.3706 0.2253
3 Pr 0.8305 0.9325 0.9079
4 Pr 0.1695 0.0675 0.0921
5 Pr 0.4180 0.5668 0.3808
6 Pr 0.5478 0.7380 0.7546
7 Pr 0.7321 0.9922 0.7006
8 Pr 0.6615 0.5145 0.2006
9 Pr 0.3385 0.4855 0.7994
10 Pr 0.5820 0.4332 0.6192
11 Pr 0.3180 0.6272 0.1757
12 Pr 0.3826 0.3534 0.0367
13 Pr 0.6820 0.3728 0.8243
14 Pr 0.9230 0.1186 0.2726
15 Pr 0.4522 0.2620 0.2454
16 Pr 0.1871 0.2692 0.4386
17 Pr 0.6174 0.6466 0.9633
18 Pr 0.8656 0.6294 0.7747
19 Pr 0.0770 0.8814 0.7274
20 Pr 0.8129 0.7308 0.5614
21 C 0.5977 0.5226 0.7496
22 C 0.8097 0.7947 0.6968
23 C 0.4023 0.4774 0.2504
24 C 0.8151 0.8433 0.7776
25 C 0.1903 0.2053 0.3032
26 C 0.1849 0.1567 0.2224
27 C 0.3951 0.4287 0.1700
28 C 0.6049 0.5713 0.8300
29 Br 0.9263 0.7237 0.9548
30 Br 0.8800 0.2075 0.4416
31 Br 0.3013 0.5651 0.9867
32 Br 0.5184 0.8528 0.9295
33 Br 0.7905 0.3150 0.2293
34 Br 0.0046 0.5709 0.1803
35 Br 0.1102 0.4887 0.4014
36 Br 0.2095 0.6850 0.7707
37 Br 0.7030 0.9272 0.5268
38 Br 0.4192 0.9421 0.7192
39 Br 0.1200 0.7925 0.5584
40 Br 0.4898 0.6415 0.5707
41 Br 0.9954 0.4291 0.8197
42 Br 0.0290 0.0908 0.6895
43 Br 0.7437 0.1391 0.8659
44 Br 0.2563 0.8609 0.1341
45 Br 0.8898 0.5113 0.5986
46 Br 0.6639 0.2305 0.6647
47 Br 0.6183 0.7242 0.1518
48 Br 0.0737 0.2763 0.0452
49 Br 0.5808 0.0579 0.2808
50 Br 0.3361 0.7695 0.3353
51 Br 0.1449 0.9935 0.9011
52 Br 0.9710 0.9092 0.3105
53 Br 0.8551 0.0065 0.0989
54 Br 0.6987 0.4349 0.0133
55 Br 0.3817 0.2758 0.8482
56 Br 0.7320 0.6274 0.3682
57 Br 0.2680 0.3726 0.6318
58 Br 0.4816 0.1472 0.0705
59 Br 0.5102 0.3585 0.4293
60 Br 0.2970 0.0728 0.4732

Values from the calculation:
uncorrected formation energy: -22.98 eV per formula unit
space group: No. 2
raw total energy: -5.248 eV per atom
magnetization: 0.00 μB/f.u.

Entry 6:
This record from Alexandria via LeMat-Bulk describes a relaxed structure of Ce2Cu3Ni12Ge. The functional is GGA-PBE.

Unit cell a=8.5834 b=8.5834 c=8.5834 alpha=42.52 beta=42.52 gamma=42.52
Sites, in units of the cell vectors:
1 Ce 0.6420 0.6420 0.6420
2 Ce 0.3580 0.3580 0.3580
3 Cu 0.5000 0.0000 0.0000
4 Cu 0.0000 0.5000 0.0000
5 Cu 0.0000 0.0000 0.5000
6 Ni 0.4209 0.4209 0.8019
7 Ni 0.8827 0.8827 0.4142
8 Ni 0.4142 0.8827 0.8827
9 Ni 0.8019 0.4209 0.4209
10 Ni 0.8827 0.4142 0.8827
11 Ni 0.4209 0.8019 0.4209
12 Ni 0.5791 0.5791 0.1981
13 Ni 0.1173 0.1173 0.5858
14 Ni 0.5858 0.1173 0.1173
15 Ni 0.1981 0.5791 0.5791
16 Ni 0.1173 0.5858 0.1173
17 Ni 0.5791 0.1981 0.5791
18 Ge 0.0000 0.0000 0.0000

Values from the calculation:
space group: No. 166
raw total energy: -5.332 eV per atom
magnetization: 0.00 μB/f.u.

Entry 7:
This record from Alexandria via LeMat-Bulk describes a relaxed structure of ZrRhSe2. The functional is GGA-PBE.

Unit cell a=6.9503 b=6.9503 c=6.9503 alpha=150.76 beta=149.34 gamma=42.88
Sites, in units of the cell vectors:
1 Rh 0.7392 0.2392 0.5000
2 Se 0.9719 0.9719 0.0000
3 Se 0.2225 0.7225 0.5000
4 Zr 0.5663 0.5663 0.0000

Values from the calculation:
uncorrected formation energy: -3.45 eV per formula unit
space group: No. 44
raw total energy: -6.581 eV per atom
magnetization: 0.00 μB/f.u.

Entry 8:
This record from Alexandria via LeMat-Bulk describes a relaxed structure of BeAgIO2. The functional is GGA-PBE.

Unit cell a=3.9350 b=3.9350 c=6.8898 alpha=90.00 beta=90.00 gamma=90.00
Sites, in units of the cell vectors:
1 I 0.0000 0.0000 0.5000
2 Be 0.5000 0.5000 0.5000
3 O 0.0000 0.5000 0.0000
4 O 0.5000 0.0000 0.0000
5 Ag 0.0000 0.0000 0.0000

Values from the calculation:
uncorrected formation energy: 3.31 eV per formula unit
space group: No. 123
raw total energy: -2.948 eV per atom
magnetization: 1.20 μB/f.u.

Entry 9:
This record from Alexandria via LeMat-Bulk describes a relaxed structure of Pr4SmRh4. The functional is GGA-PBE.

Unit cell a=5.8443 b=9.0227 c=9.0227 alpha=90.00 beta=90.00 gamma=90.00
Sites, in units of the cell vectors:
1 Pr 0.4123 0.3106 0.9150
2 Pr 0.9123 0.5850 0.8106
3 Pr 0.4123 0.6894 0.0850
4 Pr 0.0877 0.1894 0.5850
5 Pr 0.5877 0.9150 0.6894
6 Pr 0.0877 0.8106 0.4150
7 Pr 0.9123 0.4150 0.1894
8 Pr 0.5877 0.0850 0.3106
9 Sm 0.0000 0.0000 0.0000
10 Sm 0.5000 0.5000 0.5000
11 Rh 0.5959 0.7760 0.3784
12 Rh 0.5959 0.2240 0.6216
13 Rh 0.0959 0.8784 0.7240
14 Rh 0.9041 0.2760 0.8784
15 Rh 0.9041 0.7240 0.1216
16 Rh 0.4041 0.3784 0.2240
17 Rh 0.4041 0.6216 0.7760
18 Rh 0.0959 0.1216 0.2760

Values from the calculation:
space group: No. 86
raw total energy: -6.459 eV per atom
magnetization: 0.00 μB/f.u.

Entry 10:
This record from Alexandria via LeMat-Bulk describes a relaxed structure of Nd2GdTm. The functional is GGA-PBE.

Unit cell a=3.6155 b=3.6155 c=11.8815 alpha=81.25 beta=81.25 gamma=60.00
Sites, in units of the cell vectors:
1 Gd 0.5000 0.5000 0.5000
2 Tm 0.0000 0.0000 0.0000
3 Nd 0.7489 0.7489 0.7533
4 Nd 0.2511 0.2511 0.2467

Values from the calculation:
space group: No. 166
raw total energy: -7.007 eV per atom
magnetization: 7.16 μB/f.u.

Entry 11:
This record from Alexandria via LeMat-Bulk describes a relaxed structure of V3Ni3N. The functional is GGA-PBE.

Unit cell a=7.5881 b=7.5881 c=7.5881 alpha=60.00 beta=60.00 gamma=60.00
Sites, in units of the cell vectors:
1 V 0.0658 0.4342 0.0658
2 V 0.1842 0.1842 0.8158
3 V 0.8158 0.8158 0.1842
4 V 0.8158 0.1842 0.8158
5 V 0.8158 0.1842 0.1842
6 V 0.1842 0.8158 0.8158
7 V 0.4342 0.0658 0.0658
8 V 0.0658 0.0658 0.4342
9 V 0.4342 0.4342 0.0658
10 V 0.0658 0.4342 0.4342
11 V 0.1842 0.8158 0.1842
12 V 0.4342 0.0658 0.4342
13 Ni 0.8352 0.8352 0.8352
14 Ni 0.4148 0.4148 0.7557
15 Ni 0.4148 0.7557 0.4148
16 Ni 0.7557 0.4148 0.4148
17 Ni 0.8352 0.4943 0.8352
18 Ni 0.4943 0.8352 0.8352
19 Ni 0.8352 0.8352 0.4943
20 Ni 0.4148 0.4148 0.4148
21 Ni 0.6250 0.6250 0.6250
22 Ni 0.6250 0.6250 0.1250
23 Ni 0.6250 0.1250 0.6250
24 Ni 0.1250 0.6250 0.6250
25 N 0.1250 0.1250 0.1250
26 N 0.1250 0.1250 0.6250
27 N 0.1250 0.6250 0.1250
28 N 0.6250 0.1250 0.1250

Values from the calculation:
uncorrected formation energy: -3.27 eV per formula unit
space group: No. 227
raw total energy: -8.042 eV per atom
magnetization: 0.00 μB/f.u.

Entry 12:
This record from Alexandria via LeMat-Bulk describes a relaxed structure of Cs12HgAu5. The functional is GGA-PBE.

Unit cell a=11.2070 b=11.2070 c=11.2070 alpha=106.20 beta=112.98 gamma=109.30
Sites, in units of the cell vectors:
1 Cs 0.5239 0.8233 0.7006
2 Cs 0.4761 0.1767 0.2994
3 Cs 0.8772 0.1767 0.7006
4 Cs 0.1228 0.8233 0.2994
5 Cs 0.6884 0.6732 0.3616
6 Cs 0.3116 0.3268 0.6384
7 Cs 0.3116 0.6732 0.9848
8 Cs 0.6884 0.3268 0.0152
9 Cs 0.8076 0.6032 0.7956
10 Cs 0.1924 0.3968 0.2044
11 Cs 0.1924 0.9880 0.7956
12 Cs 0.8076 0.0120 0.2044
13 Hg 0.0000 0.5000 0.5000
14 Au 0.6159 0.6159 0.0000
15 Au 0.3841 0.3841 0.0000
16 Au 0.5000 0.1092 0.6092
17 Au 0.5000 0.8908 0.3908
18 Au 0.0000 0.0000 0.0000

Values from the calculation:
space group: No. 71
raw total energy: -1.703 eV per atom
magnetization: 0.00 μB/f.u.

raw total energy of number 3 (CoAsBr2)? -2.911 eV per atom